The following is a PBE calculation of a geometry-optimized ReOsF2 structure, from Alexandria.

Output
Fermi-level density of states = 19.9 states/eV per cell
formation energy from raw total energies = 119.2 kJ per mole of atoms
spin magnetization = 0.32 μB per atom

Cell lengths 5.868, 5.868, 5.868 Å; angles 90.00, 90.00, 90.00 degrees
Space group Fm-3m (No. 225)
Unique sites:
Re: 0.000 0.000 0.000 [4 per cell]
Os: 0.000 0.000 0.500 [4 per cell]
F: 0.250 0.250 0.250 [8 per cell]